Entry 1:
PmNd2Al3 | PBE-GGA | relaxed

a b c (Å): 8.307 8.307 7.462
angles (deg): 90.00 90.00 143.16
Element x y z (fractional)
Pm1 0.167 0.833 0.000
Pm2 0.833 0.167 0.000
Nd1 0.166 0.834 0.500
Nd2 0.500 0.500 0.000
Nd3 0.500 0.500 0.500
Nd4 0.834 0.166 0.500
Al1 0.000 0.000 0.248
Al2 0.000 0.000 0.752
Al3 0.333 0.667 0.248
Al4 0.333 0.667 0.752
Al5 0.667 0.333 0.248
Al6 0.667 0.333 0.752

Computed properties:
- symmetry = Cmmm (65)
- calculated formation energy (eV per atom) = -0.36

Entry 2:
HfGa2CuO | PBE-GGA | relaxed

a b c (Å): 4.267 4.267 5.164
angles (deg): 90.00 90.00 90.00
Element x y z (fractional)
Hf1 0.000 0.000 0.000
Ga1 0.000 0.500 0.500
Ga2 0.500 0.000 0.500
Cu1 0.000 0.000 0.500
O1 0.500 0.500 0.000

Computed properties:
- raw formation energy (eV/f.u.) = 1.74
- symmetry = P4/mmm (123)

Entry 3:
NaCdAg2 | PBE-GGA | relaxed

a b c (Å): 7.179 7.179 7.179
angles (deg): 33.84 33.84 33.84
Element x y z (fractional)
Na1 0.000 0.000 0.000
Cd1 0.830 0.830 0.830
Ag1 0.424 0.424 0.424
Ag2 0.571 0.571 0.571

Computed properties:
- symmetry = R3m (160)
- calculated formation energy (eV per atom) = 0.18

Number 1: final energy -4.610 eV per atom. Number 2: final energy -4.663 eV per atom. Number 3: final energy -1.802 eV per atom.